First-principles (PBE) data for an optimized crystal structure of SiIrN, as listed in Alexandria.

Summary:
excess energy over the best structure of this formula in the dataset	86	meV/atom
V	108.9	Å³ per cell
raw total energy	-0.582	Ry per atom
uncorrected formation energy	-388	meV/atom

Lattice parameters (Å, degrees): 2.7966 2.7966 16.0744 90.00 90.00 120.00
Space group R3m (No. 160, hexagonal axes)
Symmetry-distinct sites (fractional):
Si  0.0000  0.0000  0.0000 x3
Ir  0.0000  0.0000  0.8570 x3
N  0.0000  0.0000  0.7120 x3


First-principles (PBE) data for an optimized crystal structure of ZrSc5, as listed in Alexandria.

Summary:
excess energy over the best structure of this formula in the dataset	52	meV/atom
V	142.8	Å³ per cell
raw total energy	-0.490	Ry per atom

Lattice parameters (Å, degrees): 5.0669 5.0669 6.4238 90.00 90.00 120.00
Space group P6/mmm (No. 191)
Symmetry-distinct sites (fractional):
Zr  0.0000  0.0000  0.0000 x1
Sc  0.0000  0.0000  0.5000 x1
Sc  0.3333  0.6667  0.2493 x4


First-principles (PBE) data for an optimized crystal structure of CaSi2Sb, as listed in Alexandria.

Summary:
V	173.7	Å³ per cell
raw total energy	-0.304	Ry per atom
uncorrected formation energy	103	meV/atom

Lattice parameters (Å, degrees): 4.352 4.352 9.172 90.00 90.00 90.00
Space group I4/mmm (No. 139)
Symmetry-distinct sites (fractional):
Ca  0.000  0.000  0.000 x2
Si  0.000  0.500  0.250 x4
Sb  0.000  0.000  0.500 x2


First-principles (PBE) data for an optimized crystal structure of Sm5PuZn4, as listed in Alexandria.

Summary:
V	254.9	Å³ per cell
raw total energy	-0.332	Ry per atom

Lattice parameters (Å, degrees): 3.621 3.621 19.442 90.00 90.00 90.00
Space group P4/mmm (No. 123)
Symmetry-distinct sites (fractional):
Sm  0.000  0.000  0.000 x1
Sm  0.000  0.000  0.188 x2
Sm  0.000  0.000  0.375 x2
Pu  0.500  0.500  0.500 x1
Zn  0.500  0.500  0.094 x2
Zn  0.500  0.500  0.284 x2


Number 1: magnetization 0.0 μB/f.u., N(E_F) 0.58 states/eV/atom. Number 2: magnetization 0.0 μB/f.u., N(E_F) 1.93 states/eV/atom. Number 3: magnetization 0.0 μB/f.u., N(E_F) 0.62 states/eV/atom. Number 4: magnetization 6.2 μB/f.u., N(E_F) 1.71 states/eV/atom.